## a
Density functional theory data (PBE) for a geometry-optimized SrIn3As structure.

Unit cell a=6.057 b=6.057 c=6.057 alpha=90.00 beta=90.00 gamma=90.00
Fractional coordinates of all 5 atoms:
Sr: 0.000 0.000 0.000
In: 0.000 0.000 0.500
In: 0.000 0.500 0.000
In: 0.500 0.000 0.000
As: 0.500 0.500 0.500

## Properties
The volume is 222.2 Å³ per cell. The total magnetization comes out at 0.0 μB per formula unit. As for the space group: Pm-3m.


## b
Density functional theory data (PBE) for a geometry-optimized SrIn3As structure.

Unit cell a=5.476 b=5.476 c=5.476 alpha=90.00 beta=90.00 gamma=90.00
Fractional coordinates of all 5 atoms:
Sr: 0.000 0.000 0.000
In: 0.000 0.500 0.500
In: 0.500 0.000 0.500
In: 0.500 0.500 0.000
As: 0.500 0.500 0.500

## Properties
The volume is 164.2 Å³ per cell. The total magnetization comes out at 0.0 μB per formula unit. As for the space group: Pm-3m.


Which one is most stable, and which one is least stable? b is the most stable of them, while a is the least stable.